# ZnCoPO (PBE+U, relaxed)
data_ZnCoPO
_chemical_formula_sum 'Zn2 Co2 P2 O2'
_symmetry_space_group_name_H-M 'P 1'
_symmetry_Int_Tables_number 1
_symmetry_space_group_name_Hall 'P 1'
_cell_length_a 3.751
_cell_length_b 3.751
_cell_length_c 8.630
_cell_angle_alpha 90.00
_cell_angle_beta 90.00
_cell_angle_gamma 90.00
loop_
_atom_site_label
_atom_site_type_symbol
_atom_site_fract_x
_atom_site_fract_y
_atom_site_fract_z
Zn1 Zn 0.250 0.750 0.000
Zn2 Zn 0.750 0.250 0.000
Co1 Co 0.250 0.250 0.422
Co2 Co 0.750 0.750 0.578
P1 P 0.250 0.250 0.819
P2 P 0.750 0.750 0.181
O1 O 0.250 0.750 0.500
O2 O 0.750 0.250 0.500
# Final energy in eV/atom: -4.37
# Total magnetization in μB/f.u.: 2.64